[1]
A plane-wave DFT calculation with PBE-GGA was carried out for a geometry-optimized Tb2Tm2Mg5Sc structure.

Results
Magnetization ... 0.00 μB per cell
ρ ... 5049 kg/m3
Density of states at the Fermi level ... 0.73 states/eV per atom
Energy of formation ... 0.0967 eV per atom
Electronic total energy ... -3.154 eV per atom
Crystal system ... tetragonal

Structure (CIF):
```
data_Tb2Tm2Mg5Sc
_cell_length_a 10.478
_cell_length_b 10.478
_cell_length_c 4.925
_cell_angle_alpha 90.00
_cell_angle_beta 90.00
_cell_angle_gamma 90.00
_symmetry_space_group_name_H-M 'P 4/m b m'
_symmetry_Int_Tables_number 127
_symmetry_space_group_name_Hall '-P 4 2ab'
loop_
_atom_site_label
_atom_site_type_symbol
_atom_site_fract_x
_atom_site_fract_y
_atom_site_fract_z
_atom_site_occupancy
Tb1 Tb 0.178 0.322 0.000 1
Tm1 Tm 0.119 0.619 0.000 1
Mg1 Mg 0.000 0.500 0.500 1
Mg2 Mg 0.068 0.806 0.500 1
Sc1 Sc 0.000 0.000 0.000 1
```



[2]
A plane-wave DFT calculation with PBE-GGA was carried out for a geometry-optimized Tb2TmMg5Sc2 structure.

Results
Magnetization ... 0.00 μB per cell
ρ ... 4424 kg/m3
Density of states at the Fermi level ... 0.68 states/eV per atom
Energy of formation ... 0.0269 eV per atom
Electronic total energy ... -3.410 eV per atom
Crystal system ... tetragonal

Structure (CIF):
```
data_Tb2TmMg5Sc2
_cell_length_a 10.286
_cell_length_b 10.286
_cell_length_c 4.953
_cell_angle_alpha 90.00
_cell_angle_beta 90.00
_cell_angle_gamma 90.00
_symmetry_space_group_name_H-M 'P 4/m b m'
_symmetry_Int_Tables_number 127
_symmetry_space_group_name_Hall '-P 4 2ab'
loop_
_atom_site_label
_atom_site_type_symbol
_atom_site_fract_x
_atom_site_fract_y
_atom_site_fract_z
_atom_site_occupancy
Tb1 Tb 0.179 0.321 0.000 1
Tm1 Tm 0.000 0.000 0.000 1
Mg1 Mg 0.000 0.500 0.500 1
Mg2 Mg 0.069 0.797 0.500 1
Sc1 Sc 0.116 0.616 0.000 1
```



[3]
A plane-wave DFT calculation with PBE-GGA was carried out for a geometry-optimized TbYMgSc structure.

Results
Magnetization ... 0.00 μB per cell
ρ ... 4663 kg/m3
Density of states at the Fermi level ... 1.71 states/eV per atom
Energy relative to the lowest polymorph listed for this composition ... 0 meV per atom
Energy of formation ... -0.0155 eV per atom
Electronic total energy ... -4.771 eV per atom
Crystal system ... tetragonal

Structure (CIF):
```
data_TbYMgSc
_cell_length_a 3.550
_cell_length_b 3.550
_cell_length_c 8.958
_cell_angle_alpha 90.00
_cell_angle_beta 90.00
_cell_angle_gamma 90.00
_symmetry_space_group_name_H-M 'P 4 m m'
_symmetry_Int_Tables_number 99
loop_
_symmetry_equiv_pos_as_xyz
'x,y,z'
'-y,x,z'
'-x,-y,z'
'y,-x,z'
'-x,y,z'
'y,x,z'
'x,-y,z'
'-y,-x,z'
loop_
_atom_site_label
_atom_site_type_symbol
_atom_site_fract_x
_atom_site_fract_y
_atom_site_fract_z
_atom_site_occupancy
Tb1 Tb 0.000 0.000 0.000 1
Y1 Y 0.000 0.000 0.500 1
Mg1 Mg 0.500 0.500 0.251 1
Sc1 Sc 0.500 0.500 0.752 1
```



[4]
A plane-wave DFT calculation with PBE-GGA was carried out for a geometry-optimized Tb2Y2Mg5Sc structure.

Results
Magnetization ... 0.00 μB per cell
ρ ... 4003 kg/m3
Density of states at the Fermi level ... 0.74 states/eV per atom
Energy of formation ... 0.1048 eV per atom
Electronic total energy ... -3.545 eV per atom
Crystal system ... tetragonal

Structure (CIF):
```
data_Tb2Y2Mg5Sc
_cell_length_a 10.562
_cell_length_b 10.562
_cell_length_c 4.924
_cell_angle_alpha 90.00
_cell_angle_beta 90.00
_cell_angle_gamma 90.00
_symmetry_space_group_name_H-M 'P 4/m b m'
_symmetry_Int_Tables_number 127
_symmetry_space_group_name_Hall '-P 4 2ab'
loop_
_atom_site_label
_atom_site_type_symbol
_atom_site_fract_x
_atom_site_fract_y
_atom_site_fract_z
_atom_site_occupancy
Tb1 Tb 0.121 0.379 0.000 1
Y1 Y 0.177 0.677 0.000 1
Mg1 Mg 0.000 0.500 0.500 1
Mg2 Mg 0.068 0.192 0.500 1
Sc1 Sc 0.000 0.000 0.000 1
```



[5]
A plane-wave DFT calculation with PBE-GGA was carried out for a geometry-optimized TbYMgSc structure.

Results
Magnetization ... 0.00 μB per cell
ρ ... 4745 kg/m3
Density of states at the Fermi level ... 1.13 states/eV per atom
Energy relative to the lowest polymorph listed for this composition ... 37 meV per atom
Energy of formation ... 0.0212 eV per atom
Electronic total energy ... -4.734 eV per atom
Crystal system ... cubic

Structure (CIF):
```
data_TbYMgSc
_cell_length_a 7.628
_cell_length_b 7.628
_cell_length_c 7.628
_cell_angle_alpha 90.00
_cell_angle_beta 90.00
_cell_angle_gamma 90.00
_symmetry_space_group_name_H-M 'F -4 3 m'
_symmetry_Int_Tables_number 216
_symmetry_space_group_name_Hall 'F -4 2 3'
loop_
_atom_site_label
_atom_site_type_symbol
_atom_site_fract_x
_atom_site_fract_y
_atom_site_fract_z
_atom_site_occupancy
Tb1 Tb 0.000 0.000 0.000 1
Y1 Y 0.000 0.000 0.500 1
Mg1 Mg 0.250 0.250 0.750 1
Sc1 Sc 0.250 0.250 0.250 1
```



[6]
A plane-wave DFT calculation with PBE-GGA was carried out for a geometry-optimized Tb2Y4MgSc structure.

Results
Magnetization ... 0.00 μB per cell
ρ ... 5117 kg/m3
Density of states at the Fermi level ... 1.58 states/eV per atom
Energy of formation ... 0.0338 eV per atom
Electronic total energy ... -5.347 eV per atom
Crystal system ... monoclinic

Structure (CIF):
```
data_Tb2Y4MgSc
_cell_length_a 4.964
_cell_length_b 4.963
_cell_length_c 9.785
_cell_angle_alpha 90.00
_cell_angle_beta 90.06
_cell_angle_gamma 90.00
_symmetry_space_group_name_H-M 'P 1 2/m 1'
_symmetry_Int_Tables_number 10
loop_
_symmetry_equiv_pos_as_xyz
'x,y,z'
'-x,-y,-z'
'-x,y,-z'
'x,-y,z'
loop_
_atom_site_label
_atom_site_type_symbol
_atom_site_fract_x
_atom_site_fract_y
_atom_site_fract_z
_atom_site_occupancy
Tb1 Tb 0.000 0.000 0.000 1
Tb2 Tb 0.500 0.500 0.500 1
Y1 Y 0.000 0.500 0.247 1
Y2 Y 0.500 0.000 0.247 1
Mg1 Mg 0.000 0.000 0.500 1
Sc1 Sc 0.500 0.500 0.000 1
```



> The lowest electronic total energy belongs to which entry?

Tb2Y4MgSc



> What is the magnetization in the fourth record?

0.00 μB per cell